1.
The following is a PBE calculation of a geometry-optimized Mg4IrPt structure, from the Alexandria database.

Cell and atoms, written as extended XYZ:
```
6
Lattice="3.0354 0.0000 0.0000 0.0000 4.7783 0.0000 0.0000 0.0000 7.4370" Properties=species:S:1:pos:R:3 pbc="T T T"
Mg 0.0000 0.0000 1.4112
Mg 0.0000 0.0000 6.0258
Mg 1.5177 2.3892 2.2460
Mg 1.5177 2.3892 5.1911
Ir 0.0000 2.3892 0.0000
Pt 1.5177 0.0000 3.7185
```

Calculated values
- DFT formation energy (meV/atom) = -352
- calculated volume (A^3/atom) = 17.98



2.
The following is a PBE calculation of a geometry-optimized SmMgBeHg structure, from the Alexandria database.

Cell and atoms, written as extended XYZ:
```
4
Lattice="0.0000 3.4896 3.4896 3.4896 0.0000 3.4896 3.4896 3.4896 0.0000" Properties=species:S:1:pos:R:3 pbc="T T T"
Sm 0.0000 0.0000 0.0000
Mg 3.4896 3.4896 3.4896
Be 5.2343 5.2343 5.2343
Hg 1.7448 1.7448 1.7448
```

Calculated values
- DFT formation energy (meV/atom) = -105
- calculated volume (A^3/atom) = 21.25